The following is a PBE-GGA calculation of ScAg2Hg2 after structural relaxation, from Alexandria via LeMat-Bulk.

Geometry as POSCAR:
```
ScAg2Hg2
1.0
7.936 0.000 0.000
0.000 7.936 0.000
0.000 0.000 3.402
Hg Sc Ag
4 2 4
direct
0.635 0.135 0.000 Hg
0.365 0.865 0.000 Hg
0.865 0.635 0.000 Hg
0.135 0.365 0.000 Hg
0.500 0.500 0.000 Sc
0.000 0.000 0.000 Sc
0.334 0.166 0.500 Ag
0.166 0.666 0.500 Ag
0.666 0.834 0.500 Ag
0.834 0.334 0.500 Ag
```

- Energy: -2.501 eV per atom
- Symmetry: P4/mbm (127)
- Polymorph energy (0 for the lowest one): 0.186 eV per atom
- Formation energy from the elements: 13 kJ/mol of formula units